Here is crystalline Fe3CoP4O16 at its relaxed geometry from the Alexandria database. Energies are from PBEsol.

Geometry as POSCAR:
```
Fe3CoP4O16
1.0
-4.3349 1.9023 -0.6630
-2.3943 -5.2264 0.6591
-0.7684 1.5699 9.6576
Fe O Co P
3 16 1 4
Direct
0.0446 0.5000 0.7244 Fe
0.4514 0.5000 0.2238 Fe
0.5408 0.0000 0.7739 Fe
0.7774 0.0000 0.6164 O
0.6576 0.5000 0.0573 O
0.2416 0.2062 0.6646 O
0.2274 0.5000 0.3844 O
0.7641 0.7072 0.3291 O
0.7452 0.7068 0.8306 O
0.1580 0.0000 0.4372 O
0.2534 0.7921 0.1724 O
0.7452 0.2932 0.8306 O
0.2534 0.2079 0.1724 O
0.2831 0.5000 0.8784 O
0.8396 0.5000 0.5563 O
0.7641 0.2928 0.3291 O
0.7229 0.0000 0.1230 O
0.2416 0.7938 0.6646 O
0.3555 0.0000 0.9471 O
0.9280 0.0000 0.2830 Co
0.4034 0.0000 0.1016 P
0.9132 0.5000 0.4053 P
0.5975 0.5000 0.9048 P
0.0911 0.0000 0.5899 P
```

Values from the calculation:
energy = -7.620 eV/atom

***

Here is crystalline FeCoP2O8 at its relaxed geometry from the Alexandria database. Energies are from PBEsol.

Geometry as POSCAR:
```
FeCoP2O8
1.0
4.7169 0.0000 0.0167
0.0000 5.7221 0.0000
-0.0536 0.0000 9.7211
P O Fe Co
4 16 2 2
Direct
0.3993 0.7500 0.1004 P
0.6007 0.2500 0.8996 P
0.0887 0.7500 0.5881 P
0.9113 0.2500 0.4119 P
0.6532 0.2500 0.0548 O
0.7223 0.7500 0.1217 O
0.2468 0.9593 0.1732 O
0.2401 0.5415 0.6660 O
0.7532 0.4593 0.8268 O
0.2468 0.5407 0.1732 O
0.2401 0.9585 0.6660 O
0.7599 0.0415 0.3340 O
0.7707 0.7500 0.6089 O
0.2293 0.2500 0.3911 O
0.7599 0.4585 0.3340 O
0.8299 0.2500 0.5644 O
0.1701 0.7500 0.4356 O
0.3468 0.7500 0.9452 O
0.2777 0.2500 0.8783 O
0.7532 0.0407 0.8268 O
0.5475 0.7500 0.7742 Fe
0.4525 0.2500 0.2258 Fe
0.0663 0.2500 0.7179 Co
0.9337 0.7500 0.2821 Co
```

Values from the calculation:
energy = -7.514 eV/atom

***

Here is crystalline V3FeCo2P6O24 at its relaxed geometry from the Alexandria database. Energies are from PBEsol.

Geometry as POSCAR:
```
V3FeCo2P6O24
1.0
8.5135 -0.3773 -0.2688
3.8041 7.6257 -0.2688
3.8041 2.2386 7.2947
P O V Co Fe
6 24 3 2 1
Direct
0.2934 0.4551 0.1065 P
0.7827 0.7979 0.3468 P
0.1065 0.2934 0.4551 P
0.7979 0.3468 0.7827 P
0.3468 0.7827 0.7979 P
0.4551 0.1065 0.2934 P
0.4860 0.8630 0.7721 O
0.2128 0.3898 0.0300 O
0.3443 0.6278 0.0045 O
0.6278 0.0045 0.3443 O
0.4578 0.6090 0.3051 O
0.3051 0.4578 0.6090 O
0.9062 0.8425 0.1498 O
0.6900 0.6692 0.3766 O
0.0300 0.2128 0.3898 O
0.2447 0.1013 0.9420 O
0.6692 0.3766 0.6900 O
0.0045 0.3443 0.6278 O
0.4724 0.3080 0.1648 O
0.1013 0.9420 0.2447 O
0.1648 0.4724 0.3080 O
0.3766 0.6900 0.6692 O
0.8630 0.7721 0.4860 O
0.1498 0.9062 0.8425 O
0.3898 0.0300 0.2128 O
0.6090 0.3051 0.4578 O
0.7721 0.4860 0.8630 O
0.9420 0.2447 0.1013 O
0.8425 0.1498 0.9062 O
0.3080 0.1648 0.4724 O
0.0451 0.0451 0.0451 V
0.8966 0.8966 0.8966 V
0.5111 0.5111 0.5111 V
0.7379 0.7379 0.7379 Co
0.1555 0.1555 0.1555 Co
0.4016 0.4016 0.4016 Fe
```

Values from the calculation:
energy = -7.523 eV/atom

***

Here is crystalline Sr2FeCoO6 at its relaxed geometry from the Alexandria database. Energies are from PBEsol.

Geometry as POSCAR:
```
Sr2FeCoO6
1.0
-0.8400 -3.5221 1.0067
4.7394 -1.6634 -1.8653
2.1937 0.8526 4.8134
O Fe Co Sr
6 1 1 2
Direct
0.5000 0.0000 0.0000 O
0.0000 0.7527 0.7527 O
0.0000 0.2473 0.2473 O
0.0000 0.7527 0.2473 O
0.5000 0.5000 0.5000 O
0.0000 0.2473 0.7527 O
0.0000 0.0000 0.0000 Fe
0.0000 0.5000 0.5000 Co
0.5000 0.0000 0.5000 Sr
0.5000 0.5000 0.0000 Sr
```

Values from the calculation:
energy = -7.102 eV/atom

***

Here is crystalline Sr2FeCoO6 at its relaxed geometry from the Alexandria database. Energies are from PBEsol.

Geometry as POSCAR:
```
Sr2FeCoO6
1.0
5.3395 -0.0328 -0.0469
-2.6410 4.6407 0.0469
-2.6410 -1.5475 4.3754
O Fe Sr Co
6 1 2 1
Direct
0.0005 0.7512 0.2493 O
0.4980 0.2493 0.2488 O
0.0000 0.7510 0.7510 O
0.0000 0.2490 0.2490 O
0.9995 0.2488 0.7507 O
0.5020 0.7507 0.7512 O
0.0000 0.0000 0.0000 Fe
0.5000 0.2500 0.7500 Sr
0.5000 0.7500 0.2500 Sr
0.0000 0.5000 0.5000 Co
```

Values from the calculation:
energy = -7.100 eV/atom

***

Here is crystalline TiFe2CoOs at its relaxed geometry from the Alexandria database. Energies are from PBEsol.

Geometry as POSCAR:
```
TiFe2CoOs
1.0
-2.2183 1.3744 3.0920
0.9808 -3.3637 2.1989
3.3175 1.9551 1.5110
Ti Fe Os Co
1 2 1 1
Direct
0.0000 0.0000 0.0000 Ti
0.0000 0.5000 0.0000 Fe
0.0000 0.0000 0.5000 Fe
0.5000 0.5000 0.5000 Os
0.5000 0.0000 0.0000 Co
```

Values from the calculation:
energy of formation = 1.43 eV/atom